! LiMoF2 PBE with a Hubbard U optimized geometry; values from VASP
&SYSTEM
  ibrav = 0, nat = 16, ntyp = 3
/
ATOMIC_SPECIES
Li 6.94 Li.upf
Mo 95.94 Mo.upf
F 19.00 F.upf
CELL_PARAMETERS angstrom
5.218 0.000 0.000
0.000 5.218 0.000
0.000 0.000 8.967
ATOMIC_POSITIONS crystal
Li 0.000 0.000 0.000
Li 0.000 0.500 0.250
Li 0.500 0.000 0.750
Li 0.500 0.500 0.500
Mo 0.000 0.000 0.500
Mo 0.000 0.500 0.750
Mo 0.500 0.000 0.250
Mo 0.500 0.500 0.000
F 0.159 0.250 0.125
F 0.250 0.659 0.375
F 0.250 0.841 0.875
F 0.341 0.250 0.625
F 0.659 0.750 0.625
F 0.750 0.159 0.875
F 0.750 0.341 0.375
F 0.841 0.750 0.125
! M_tot, μB per atom: 1.249
! Excess energy over the best structure of this formula in the dataset, kJ/mol of atoms: 5.7
! Fermi-level density of states, states/eV/atom: 0.0741